# 1
## SrLiSi3 (GGA-PBE)

Data for a geometry-optimized SrLiSi3 structure.

Output
DFT total energy ... -4.214 eV/atom
ΔE to the lowest computed polymorph ... 0 meV per atom
E_form (uncorrected) ... -23.2 kJ/mol of atoms

Geometry as POSCAR:
```
SrLiSi3
1.0
4.549 0.000 -0.626
0.000 3.955 0.000
-0.675 0.000 11.930
Si Sr Li
6 2 2
Direct
0.628 0.750 0.256
0.473 0.250 0.947
0.527 0.750 0.053
0.372 0.250 0.744
0.317 0.750 0.634
0.683 0.250 0.366
0.923 0.750 0.845
0.077 0.250 0.155
0.204 0.750 0.409
0.796 0.250 0.591
```

=====

# 2
## SrLi2Si4 (GGA-PBE)

Data for a geometry-optimized SrLi2Si4 structure.

Output
DFT total energy ... -4.096 eV/atom
E_form (uncorrected) ... -20.2 kJ/mol of atoms

Geometry as POSCAR:
```
SrLi2Si4
1.0
-0.637 3.663 -1.379
-3.668 1.135 -0.995
-2.980 4.886 8.656
Li Si Sr
2 4 1
Direct
0.859 0.859 0.423
0.141 0.141 0.577
0.766 0.766 0.701
0.405 0.405 0.785
0.234 0.234 0.299
0.595 0.595 0.215
0.000 0.000 0.000
```

=====

# 3
## SrLi4Si (GGA-PBE)

Data for a geometry-optimized SrLi4Si structure.

Output
DFT total energy ... -2.491 eV/atom
E_form (uncorrected) ... -3.0 kJ/mol of atoms

Geometry as POSCAR:
```
SrLi4Si
1.0
-3.427 -3.909 1.846
-5.361 0.202 -1.284
-2.136 -3.679 -3.513
Li Si Sr
4 1 1
Direct
0.377 0.870 0.377
0.377 0.377 0.870
0.377 0.377 0.377
0.870 0.377 0.377
0.750 0.750 0.750
0.000 0.000 0.000
```

=====

# 4
## Sr3LiSi (GGA-PBE)

Data for a geometry-optimized Sr3LiSi structure.

Output
DFT total energy ... -2.531 eV/atom
ΔE to the lowest computed polymorph ... 0 meV per atom
E_form (uncorrected) ... -5.3 kJ/mol of atoms

Geometry as POSCAR:
```
Sr3LiSi
1.0
-5.557 1.387 2.199
-2.441 -0.995 -5.540
-0.896 -5.893 1.453
Li Si Sr
1 1 3
Direct
0.500 0.500 0.500
0.000 0.000 0.000
0.000 0.500 0.000
0.500 0.000 0.000
0.000 0.000 0.500
```

=====

# 5
## SrLi2Si2 (GGA-PBE)

Data for a geometry-optimized SrLi2Si2 structure.

Output
DFT total energy ... -3.307 eV/atom
ΔE to the lowest computed polymorph ... 274 meV per atom
E_form (uncorrected) ... -3.5 kJ/mol of atoms

Geometry as POSCAR:
```
SrLi2Si2
1.0
-2.607 -6.078 -4.167
7.369 -2.192 -1.413
-0.032 -1.999 2.935
Si Sr Li
4 2 4
Direct
0.392 0.892 0.000
0.892 0.608 0.000
0.108 0.392 0.000
0.608 0.108 0.000
0.000 0.000 0.000
0.500 0.500 0.000
0.335 0.165 0.500
0.835 0.335 0.500
0.665 0.835 0.500
0.165 0.665 0.500
```

=====

# 6
## SrLi4Si4 (GGA-PBE)

Data for a geometry-optimized SrLi4Si4 structure.

Output
DFT total energy ... -3.619 eV/atom
E_form (uncorrected) ... -16.5 kJ/mol of atoms

Geometry as POSCAR:
```
SrLi4Si4
1.0
-0.434 -5.655 2.560
-0.990 -2.471 -5.624
8.648 -1.128 -1.026
Si Li Sr
8 8 2
Direct
0.318 0.000 0.318
0.182 0.500 0.182
0.500 0.818 0.818
0.682 0.000 0.318
0.500 0.182 0.818
0.000 0.318 0.682
0.818 0.500 0.182
0.000 0.682 0.682
0.500 0.746 0.114
0.754 0.000 0.614
0.746 0.500 0.886
0.500 0.254 0.114
0.000 0.246 0.386
0.246 0.000 0.614
0.000 0.754 0.386
0.254 0.500 0.886
0.000 0.000 0.000
0.500 0.500 0.500
```

=====

Which formula does entry 1 have?
SrLiSi3

=====

What is the formula in the first record?
SrLiSi3

=====

Among the records above, which one has the highest E_form (uncorrected)?
SrLi4Si

=====

Which value of E_form (uncorrected) does entry 3 give?
-3.0 kJ/mol of atoms